Material: Sc2WNF
Method: DFT, PBE+U
State: optimized geometry

Properties
Total moment ... 0.62 μB/f.u.
Space group ... P4/mmm
Electronic total energy ... -29.33 eV per cell
V ... 107.7 Å³ per cell

abc: 5.235 5.235 3.929
angles: 90.00 90.00 90.00
Sites, in units of the cell vectors:
Sc  0.000  0.500  0.000
Sc  0.500  0.000  0.000
W  0.000  0.000  0.000
N  0.000  0.000  0.500
F  0.500  0.500  0.500